Entry from Alexandria: a relaxed LuZrIr2 crystal (PBE).

## Properties
Its density of states at the Fermi level is 2.61 states/eV per cell. Its formation energy from the elements is -84 kJ per mole of atoms. The value obtained for the total moment is 0.000 μB per atom. Its space group is No. 225. The value obtained for the energy above the most stable polymorph in this dataset is 15 meV per atom. As for the crystal system: cubic.

a = 4.7152 Å, b = 4.7152 Å, c = 4.7153 Å
α = 60.00°, β = 60.00°, γ = 60.00°
Closest atoms and distances in Å follow each position.
Atoms (fractional coordinates):
Zr  0.5000  0.5000  0.5000  8 Ir 2.89
Lu  0.0000  0.0000  0.0000  8 Ir 2.89
Ir  0.7500  0.7500  0.7500  4 Lu 2.89, 4 Zr 2.89
Ir  0.2500  0.2500  0.2500  4 Lu 2.89, 4 Zr 2.89



Entry from Alexandria: a relaxed LiMnW2 crystal (PBE).

## Properties
Its density of states at the Fermi level is 3.78 states/eV per cell. Its formation energy from the elements is 38 kJ per mole of atoms. The value obtained for the total moment is 0.396 μB per atom. Its space group is No. 71. The value obtained for the energy above the most stable polymorph in this dataset is 62 meV per atom. As for the crystal system: orthorhombic.

a = 5.1019 Å, b = 5.1019 Å, c = 5.1019 Å
α = 145.27°, β = 129.64°, γ = 62.63°
Closest atoms and distances in Å follow each position.
Atoms (fractional coordinates):
W  0.4888  0.4888  0.0000  2 Mn 2.58, 4 W 2.66, 2 Li 2.74
W  0.0112  0.0112  0.0000  2 Mn 2.58, 4 W 2.66, 2 Li 2.74
Li  0.7500  0.2500  0.5000  4 Mn 2.65, 4 W 2.74
Mn  0.2500  0.7500  0.5000  4 W 2.58, 4 Li 2.65



Entry from Alexandria: a relaxed Cd2CoOs crystal (PBE).

## Properties
Its density of states at the Fermi level is 3.57 states/eV per cell. Its formation energy from the elements is 59 kJ per mole of atoms. The value obtained for the total moment is 0.465 μB per atom. Its space group is No. 10. The value obtained for the energy above the most stable polymorph in this dataset is 341 meV per atom. As for the crystal system: monoclinic.

a = 4.5333 Å, b = 2.7309 Å, c = 5.3721 Å
α = 78.42°, β = 90.00°, γ = 90.00°
Closest atoms and distances in Å follow each position.
Atoms (fractional coordinates):
Co  0.5000  0.2500  0.2500  4 Cd 2.72, 2 Co 2.73, 2 Os 2.76
Os  0.5000  0.7500  0.7500  2 Os 2.73, 2 Co 2.76, 4 Cd 2.86
Cd  0.0000  0.4476  0.4931  2 Co 2.72, 5 Cd 2.73-3.02, 2 Os 2.86
Cd  0.0000  0.0524  0.0069  2 Co 2.72, 5 Cd 2.73-3.02, 2 Os 2.86



Entry from Alexandria: a relaxed PmDyIn6 crystal (PBE).

## Properties
Its density of states at the Fermi level is 4.19 states/eV per cell. Its formation energy from the elements is -37 kJ per mole of atoms. The value obtained for the total moment is 0.000 μB per atom. Its space group is No. 187. The value obtained for the energy above the most stable polymorph in this dataset is 63 meV per atom. As for the crystal system: hexagonal.

a = 5.3090 Å, b = 6.6639 Å, c = 6.6639 Å
α = 120.01°, β = 90.00°, γ = 90.00°
Closest atoms and distances in Å follow each position.
Atoms (fractional coordinates):
Dy  0.5000  0.4167  0.5833  12 In 3.31-3.33
Pm  0.0000  0.0832  0.9168  12 In 3.33
In  0.5000  0.9092  0.5681  8 In 3.18-3.48, 2 Pm 3.33, 2 Dy 3.33
In  0.0000  0.5880  0.4120  8 In 3.24-3.43, 2 Dy 3.31, 2 Pm 3.33
In  0.5000  0.9092  0.0908  8 In 3.18-3.48, 2 Pm 3.33, 2 Dy 3.33
In  0.0000  0.5880  0.9264  8 In 3.24-3.43, 2 Dy 3.31, 2 Pm 3.33
In  0.5000  0.4319  0.0908  8 In 3.18-3.48, 2 Pm 3.33, 2 Dy 3.33
In  0.0000  0.0736  0.4120  8 In 3.24-3.43, 2 Dy 3.31, 2 Pm 3.33



Entry from Alexandria: a relaxed Ho3Sn2Rh crystal (PBE).

## Properties
Its density of states at the Fermi level is 11.61 states/eV per cell. Its formation energy from the elements is -77 kJ per mole of atoms. The value obtained for the total moment is 0.000 μB per atom. Its space group is No. 62. As for the crystal system: orthorhombic.

a = 4.3597 Å, b = 11.5529 Å, c = 12.3072 Å
α = 90.00°, β = 90.00°, γ = 90.00°
Closest atoms and distances in Å follow each position.
Atoms (fractional coordinates):
Ho  0.7500  0.9543  0.1217  3 Rh 2.99-3.22, 5 Sn 3.11-3.26
Rh  0.7500  0.6315  0.3731  3 Sn 2.75-2.80, 5 Ho 2.86-2.99
Ho  0.2500  0.7888  0.7420  2 Rh 2.86, 1 Sn 3.13
Sn  0.2500  0.8085  0.0043  2 Rh 2.80, 5 Ho 3.08-3.13
Ho  0.2500  0.7112  0.2420  2 Rh 2.86, 1 Sn 3.13
Sn  0.7500  0.5005  0.1865  1 Rh 2.75
Ho  0.7500  0.6299  0.9479  1 Rh 2.91, 4 Sn 3.08-3.12
Rh  0.7500  0.8685  0.8731  3 Sn 2.75-2.80, 5 Ho 2.86-2.99
Ho  0.7500  0.2112  0.2580  2 Rh 2.86, 1 Sn 3.13
Ho  0.2500  0.1299  0.5521  1 Rh 2.91, 4 Sn 3.08-3.12
Sn  0.2500  0.4995  0.8135  1 Rh 2.75
Rh  0.2500  0.3685  0.6269  3 Sn 2.75-2.80, 5 Ho 2.86-2.99
Ho  0.7500  0.2888  0.7580  2 Rh 2.86, 1 Sn 3.13
Sn  0.2500  0.0005  0.3135  1 Rh 2.75
Ho  0.7500  0.8701  0.4479  1 Rh 2.91, 4 Sn 3.08-3.12
Ho  0.2500  0.0457  0.8783  3 Rh 2.99-3.22, 5 Sn 3.11-3.26
Sn  0.2500  0.6915  0.5043  2 Rh 2.80, 5 Ho 3.08-3.13
Sn  0.7500  0.9995  0.6865  1 Rh 2.75
Rh  0.2500  0.1315  0.1269  3 Sn 2.75-2.80, 5 Ho 2.86-2.99
Ho  0.7500  0.5457  0.6217  3 Rh 2.99-3.22, 5 Sn 3.11-3.26
Sn  0.7500  0.1915  0.9957  2 Rh 2.80, 5 Ho 3.08-3.13
Ho  0.2500  0.3701  0.0521  1 Rh 2.91, 4 Sn 3.08-3.12
Ho  0.2500  0.4543  0.3783  3 Rh 2.99-3.22, 5 Sn 3.11-3.26
Sn  0.7500  0.3085  0.4957  2 Rh 2.80, 5 Ho 3.08-3.13



Entry from Alexandria: a relaxed CsAu crystal (PBE).

## Properties
Its density of states at the Fermi level is 0.01 states/eV per cell. Its formation energy from the elements is -32 kJ per mole of atoms. The value obtained for the total moment is 0.000 μB per atom. Its space group is No. 11. The value obtained for the energy above the most stable polymorph in this dataset is 0 meV per atom. As for the crystal system: monoclinic.

a = 5.0852 Å, b = 5.1100 Å, c = 6.9304 Å
α = 90.00°, β = 111.57°, γ = 90.00°
Closest atoms and distances in Å follow each position.
Atoms (fractional coordinates):
Au  0.9366  0.2500  0.8738  2 Au 3.03
Cs  0.3594  0.7500  0.7199  7 Au 3.65-3.83
Cs  0.6406  0.2500  0.2801  7 Au 3.65-3.83
Au  0.0634  0.7500  0.1262  2 Au 3.03



Entry from Alexandria: a relaxed NaRe3S crystal (PBE).

## Properties
Its density of states at the Fermi level is 6.74 states/eV per cell. The value obtained for the total moment is 0.108 μB per atom. Its space group is No. 221. The value obtained for the energy above the most stable polymorph in this dataset is 0 meV per atom. As for the crystal system: cubic. As for the uncorrected formation energy: 5.67 eV/f.u.

a = 4.4118 Å, b = 4.4118 Å, c = 4.4118 Å
α = 90.00°, β = 90.00°, γ = 90.00°
Closest atoms and distances in Å follow each position.
Atoms (fractional coordinates):
S  0.0000  0.0000  0.0000  6 Re 2.21
Re  0.5000  0.0000  0.0000  2 S 2.21
Re  0.0000  0.5000  0.0000  2 S 2.21
Na  0.5000  0.5000  0.5000  12 Re 3.12
Re  0.0000  0.0000  0.5000  2 S 2.21



Entry from Alexandria: a relaxed PrPuAlCd crystal (PBE).

## Properties
Its density of states at the Fermi level is 8.62 states/eV per cell. Its formation energy from the elements is -12 kJ per mole of atoms. The value obtained for the total moment is 1.592 μB per atom. Its space group is No. 216. As for the crystal system: cubic.

a = 5.3363 Å, b = 5.3363 Å, c = 5.3363 Å
α = 60.00°, β = 60.00°, γ = 60.00°
Closest atoms and distances in Å follow each position.
Atoms (fractional coordinates):
Pr  0.5000  0.5000  0.5000  4 Al 3.27, 4 Cd 3.27
Al  0.7500  0.7500  0.7500  4 Pr 3.27, 4 Pu 3.27
Pu  0.0000  0.0000  0.0000  4 Cd 3.27, 4 Al 3.27
Cd  0.2500  0.2500  0.2500  4 Pr 3.27, 4 Pu 3.27



One value per record, in order, for E: -8.570 -8.853 -4.427 -3.601 -5.644 -2.400 -7.425 -6.064 eV per atom.